Computed, not measured: a geometry-optimized BaIn2Pd structure at the GGA-PBE level of DFT.

Values from the calculation:
DFT formation energy	-0.278	eV per atom
total magnetization	0.00	Bohr magnetons per cell
DOS(E_F)	0.71	states/eV per atom
volume	558	Å³/cell

Cell lengths 5.5020, 5.5020, 18.4387 Å; angles 90.00, 90.00, 90.00 degrees
Closest atoms and distances in Å follow each position.
Atoms (fractional coordinates):
1 Ba 0.0000 0.0000 0.0000  4 In 3.63, 4 Pd 3.89
2 Ba 0.0000 0.5000 0.2500  4 In 3.63, 4 Pd 3.89
3 Ba 0.5000 0.0000 0.7500  4 In 3.63, 4 Pd 3.89
4 Ba 0.5000 0.5000 0.5000  4 In 3.63, 4 Pd 3.89
5 In 0.0565 0.2500 0.6250  2 Pd 2.70, 2 In 2.82
6 In 0.2500 0.5565 0.8750  2 Pd 2.70, 2 In 2.82
7 In 0.2500 0.9435 0.3750  2 Pd 2.70, 2 In 2.82
8 In 0.4435 0.2500 0.1250  2 Pd 2.70, 2 In 2.82
9 In 0.5565 0.7500 0.1250  2 Pd 2.70, 2 In 2.82
10 In 0.7500 0.0565 0.3750  2 Pd 2.70, 2 In 2.82
11 In 0.7500 0.4435 0.8750  2 Pd 2.70, 2 In 2.82
12 In 0.9435 0.7500 0.6250  2 Pd 2.70, 2 In 2.82
13 Pd 0.0000 0.0000 0.5000  4 In 2.70
14 Pd 0.0000 0.5000 0.7500  4 In 2.70
15 Pd 0.5000 0.0000 0.2500  4 In 2.70
16 Pd 0.5000 0.5000 0.0000  4 In 2.70

Computed, not measured: a geometry-optimized Ba3In2Pd4 structure at the GGA-PBE level of DFT.

Values from the calculation:
DFT formation energy	-0.595	eV per atom
total magnetization	0.00	Bohr magnetons per cell
DOS(E_F)	0.52	states/eV per atom
volume	253	Å³/cell
energy above the lowest structure with this stoichiometry	0	meV/atom

Cell lengths 6.3004, 6.3004, 9.3229 Å; angles 99.40, 99.40, 43.98 degrees
Closest atoms and distances in Å follow each position.
Atoms (fractional coordinates):
1 Ba 0.0000 0.0000 0.0000  8 Pd 3.32-3.65
2 Ba 0.3760 0.3760 0.6142  6 Pd 3.29-3.44, 2 In 3.62-3.67
3 Ba 0.6240 0.6240 0.3858  6 Pd 3.29-3.44, 2 In 3.62-3.67
4 In 0.3205 0.3205 0.2141  5 Pd 2.75-2.83
5 In 0.6795 0.6795 0.7859  5 Pd 2.75-2.83
6 Pd 0.0862 0.0862 0.6424  2 In 2.83, 2 Pd 2.97-3.04
7 Pd 0.2638 0.2638 0.9136  3 In 2.75-2.76, 3 Pd 2.91-2.97
8 Pd 0.7362 0.7362 0.0864  3 In 2.75-2.76, 3 Pd 2.91-2.97
9 Pd 0.9138 0.9138 0.3576  2 In 2.83, 2 Pd 2.97-3.04

Computed, not measured: a geometry-optimized BaInPd2 structure at the GGA-PBE level of DFT.

Values from the calculation:
DFT formation energy	-0.362	eV per atom
total magnetization	0.00	Bohr magnetons per cell
DOS(E_F)	0.47	states/eV per atom
volume	504	Å³/cell

Cell lengths 5.2795, 5.2795, 18.0703 Å; angles 90.00, 90.00, 90.00 degrees
Closest atoms and distances in Å follow each position.
Atoms (fractional coordinates):
1 Ba 0.0000 0.0000 0.0000  8 Pd 3.59-3.84, 4 In 3.73
2 Ba 0.0000 0.5000 0.2500  8 Pd 3.59-3.84, 4 In 3.73
3 Ba 0.5000 0.0000 0.7500  8 Pd 3.59-3.84, 4 In 3.73
4 Ba 0.5000 0.5000 0.5000  8 Pd 3.59-3.84, 4 In 3.73
5 In 0.0000 0.0000 0.5000  4 Pd 2.62
6 In 0.0000 0.5000 0.7500  4 Pd 2.62
7 In 0.5000 0.0000 0.2500  4 Pd 2.62
8 In 0.5000 0.5000 0.0000  4 Pd 2.62
9 Pd 0.0336 0.2500 0.6250  2 In 2.62, 2 Pd 2.66
10 Pd 0.2500 0.5336 0.8750  2 In 2.62, 2 Pd 2.66
11 Pd 0.2500 0.9664 0.3750  2 In 2.62, 2 Pd 2.66
12 Pd 0.4664 0.2500 0.1250  2 In 2.62, 2 Pd 2.66
13 Pd 0.5336 0.7500 0.1250  2 In 2.62, 2 Pd 2.66
14 Pd 0.7500 0.0336 0.3750  2 In 2.62, 2 Pd 2.66
15 Pd 0.7500 0.4664 0.8750  2 In 2.62, 2 Pd 2.66
16 Pd 0.9664 0.7500 0.6250  2 In 2.62, 2 Pd 2.66

Computed, not measured: a geometry-optimized BaIn7Pd5 structure at the GGA-PBE level of DFT.

Values from the calculation:
DFT formation energy	-0.447	eV per atom
total magnetization	0.00	Bohr magnetons per cell
DOS(E_F)	0.57	states/eV per atom
volume	276	Å³/cell

Cell lengths 7.4884, 7.4884, 7.4884 Å; angles 134.44, 97.23, 100.02 degrees
Closest atoms and distances in Å follow each position.
Atoms (fractional coordinates):
1 Ba 0.0000 0.0000 0.0000  8 In 3.27-3.54, 2 Pd 3.62
2 In 0.1927 0.4886 0.7041  5 Pd 2.79-2.91
3 In 0.2397 0.7397 0.5000  4 Pd 2.78, 4 In 3.11
4 In 0.3555 0.3555 0.0000  5 In 2.93-3.20, 4 Pd 2.98
5 In 0.3678 0.0214 0.3464  5 Pd 2.84-3.10, 2 In 3.04-3.11
6 In 0.6602 0.6602 0.0000  1 In 2.93, 6 Pd 3.06-3.10, 1 Ba 3.27
7 In 0.6751 0.0214 0.6536  5 Pd 2.84-3.10, 2 In 3.04-3.11
8 In 0.7845 0.4886 0.2959  5 Pd 2.79-2.91
9 Pd 0.0090 0.5030 0.0132  7 In 2.78-3.10, 3 Pd 2.86-2.97
10 Pd 0.0090 0.9958 0.5061  7 In 2.78-3.10, 3 Pd 2.86-2.97
11 Pd 0.4897 0.5030 0.4939  7 In 2.78-3.10, 3 Pd 2.86-2.97
12 Pd 0.4897 0.9958 0.9868  7 In 2.78-3.10, 3 Pd 2.86-2.97
13 Pd 0.7744 0.2744 0.5000  6 In 2.87-3.10, 4 Pd 2.97

Computed, not measured: a geometry-optimized BaIn3Pd3 structure at the GGA-PBE level of DFT.

Values from the calculation:
DFT formation energy	-0.317	eV per atom
total magnetization	0.00	Bohr magnetons per cell
DOS(E_F)	0.62	states/eV per atom
volume	408	Å³/cell
energy above the lowest structure with this stoichiometry	72	meV/atom

Cell lengths 7.4173, 7.4173, 7.4173 Å; angles 90.00, 90.00, 90.00 degrees
Closest atoms and distances in Å follow each position.
Atoms (fractional coordinates):
1 Ba 0.0000 0.0000 0.0000  12 In 4.15, 12 Pd 4.15
2 Ba 0.5000 0.5000 0.5000  12 In 4.15, 12 Pd 4.15
3 In 0.0000 0.2500 0.5000  4 Pd 2.62
4 In 0.0000 0.7500 0.5000  4 Pd 2.62
5 In 0.2500 0.5000 0.0000  4 Pd 2.62
6 In 0.5000 0.0000 0.2500  4 Pd 2.62
7 In 0.5000 0.0000 0.7500  4 Pd 2.62
8 In 0.7500 0.5000 0.0000  4 Pd 2.62
9 Pd 0.0000 0.5000 0.2500  4 In 2.62
10 Pd 0.0000 0.5000 0.7500  4 In 2.62
11 Pd 0.2500 0.0000 0.5000  4 In 2.62
12 Pd 0.5000 0.2500 0.0000  4 In 2.62
13 Pd 0.5000 0.7500 0.0000  4 In 2.62
14 Pd 0.7500 0.0000 0.5000  4 In 2.62

Computed, not measured: a geometry-optimized Ba4InPd2 structure at the GGA-PBE level of DFT.

Values from the calculation:
DFT formation energy	-0.316	eV per atom
total magnetization	0.00	Bohr magnetons per cell
DOS(E_F)	0.69	states/eV per atom
volume	596	Å³/cell

Cell lengths 6.4386, 6.4386, 21.3984 Å; angles 90.00, 90.00, 137.81 degrees
Closest atoms and distances in Å follow each position.
Atoms (fractional coordinates):
1 Ba 0.0000 0.0000 0.0000  6 Pd 3.39-3.64
2 Ba 0.0000 0.0000 0.5000  6 Pd 3.39-3.64
3 Ba 0.2762 0.7238 0.6229  3 Pd 3.21-3.23
4 Ba 0.2762 0.7238 0.8771  3 Pd 3.21-3.23
5 Ba 0.4378 0.5622 0.2500  3 In 3.43-3.48
6 Ba 0.5622 0.4378 0.7500  3 In 3.43-3.48
7 Ba 0.7238 0.2762 0.1229  3 Pd 3.21-3.23
8 Ba 0.7238 0.2762 0.3771  3 Pd 3.21-3.23
9 In 0.1486 0.8514 0.2500  7 Ba 3.43-3.69
10 In 0.8514 0.1486 0.7500  7 Ba 3.43-3.69
11 Pd 0.2995 0.7005 0.0268  2 Pd 2.85
12 Pd 0.2995 0.7005 0.4732  2 Pd 2.85
13 Pd 0.7005 0.2995 0.5268  2 Pd 2.85
14 Pd 0.7005 0.2995 0.9732  2 Pd 2.85

Computed, not measured: a geometry-optimized Ba12In3Pd5 structure at the GGA-PBE level of DFT.

Values from the calculation:
DFT formation energy	-0.267	eV per atom
total magnetization	2.72	Bohr magnetons per cell
DOS(E_F)	0.87	states/eV per atom
volume	3796	Å³/cell

Cell lengths 17.0208, 17.0208, 17.0208 Å; angles 109.47, 109.47, 109.47 degrees
Closest atoms and distances in Å follow each position.
Atoms (fractional coordinates):
1 Ba 0.0350 0.2116 0.1256  2 Pd 3.00-3.24
2 Ba 0.0350 0.3234 0.9095  2 Pd 3.00-3.24
3 Ba 0.0860 0.7116 0.6766  2 Pd 3.00-3.24
4 Ba 0.0860 0.8744 0.4095  2 Pd 3.00-3.24
5 Ba 0.0905 0.6256 0.4140  2 Pd 3.00-3.24
6 Ba 0.0905 0.9650 0.6766  2 Pd 3.00-3.24
7 Ba 0.1256 0.0350 0.2116  2 Pd 3.00-3.24
8 Ba 0.1256 0.5905 0.9140  2 Pd 3.00-3.24
9 Ba 0.1766 0.2116 0.5860  2 Pd 3.00-3.24
10 Ba 0.1766 0.4650 0.5905  2 Pd 3.00-3.24
11 Ba 0.2116 0.1256 0.0350  2 Pd 3.00-3.24
12 Ba 0.2116 0.5860 0.1766  2 Pd 3.00-3.24
13 Ba 0.2884 0.3234 0.9140  2 Pd 3.00-3.24
14 Ba 0.2884 0.4650 0.3744  2 Pd 3.00-3.24
15 Ba 0.3234 0.9095 0.0350  2 Pd 3.00-3.24
16 Ba 0.3234 0.9140 0.2884  2 Pd 3.00-3.24
17 Ba 0.3744 0.2884 0.4650  2 Pd 3.00-3.24
18 Ba 0.3744 0.5860 0.9095  2 Pd 3.00-3.24
19 Ba 0.4095 0.0860 0.8744  2 Pd 3.00-3.24
20 Ba 0.4095 0.8234 0.5350  2 Pd 3.00-3.24
21 Ba 0.4140 0.0905 0.6256  2 Pd 3.00-3.24
22 Ba 0.4140 0.8234 0.7884  2 Pd 3.00-3.24
23 Ba 0.4650 0.3744 0.2884  2 Pd 3.00-3.24
24 Ba 0.4650 0.5905 0.1766  2 Pd 3.00-3.24
25 Ba 0.5350 0.4095 0.8234  2 Pd 3.00-3.24
26 Ba 0.5350 0.6256 0.7116  2 Pd 3.00-3.24
27 Ba 0.5860 0.1766 0.2116  2 Pd 3.00-3.24
28 Ba 0.5860 0.9095 0.3744  2 Pd 3.00-3.24
29 Ba 0.5905 0.1766 0.4650  2 Pd 3.00-3.24
30 Ba 0.5905 0.9140 0.1256  2 Pd 3.00-3.24
31 Ba 0.6256 0.4140 0.0905  2 Pd 3.00-3.24
32 Ba 0.6256 0.7116 0.5350  2 Pd 3.00-3.24
33 Ba 0.6766 0.0860 0.7116  2 Pd 3.00-3.24
34 Ba 0.6766 0.0905 0.9650  2 Pd 3.00-3.24
35 Ba 0.7116 0.5350 0.6256  2 Pd 3.00-3.24
36 Ba 0.7116 0.6766 0.0860  2 Pd 3.00-3.24
37 Ba 0.7884 0.4140 0.8234  2 Pd 3.00-3.24
38 Ba 0.7884 0.8744 0.9650  2 Pd 3.00-3.24
39 Ba 0.8234 0.5350 0.4095  2 Pd 3.00-3.24
40 Ba 0.8234 0.7884 0.4140  2 Pd 3.00-3.24
41 Ba 0.8744 0.4095 0.0860  2 Pd 3.00-3.24
42 Ba 0.8744 0.9650 0.7884  2 Pd 3.00-3.24
43 Ba 0.9095 0.0350 0.3234  2 Pd 3.00-3.24
44 Ba 0.9095 0.3744 0.5860  2 Pd 3.00-3.24
45 Ba 0.9140 0.1256 0.5905  2 Pd 3.00-3.24
46 Ba 0.9140 0.2884 0.3234  2 Pd 3.00-3.24
47 Ba 0.9650 0.6766 0.0905  2 Pd 3.00-3.24
48 Ba 0.9650 0.7884 0.8744  2 Pd 3.00-3.24
49 In 0.1250 0.2500 0.3750  8 Ba 3.73-3.79
50 In 0.1250 0.3750 0.7500  8 Ba 3.73-3.79
51 In 0.2500 0.3750 0.1250  8 Ba 3.73-3.79
52 In 0.2500 0.8750 0.6250  8 Ba 3.73-3.79
53 In 0.3750 0.1250 0.2500  8 Ba 3.73-3.79
54 In 0.3750 0.7500 0.1250  8 Ba 3.73-3.79
55 In 0.6250 0.2500 0.8750  8 Ba 3.73-3.79
56 In 0.6250 0.8750 0.7500  8 Ba 3.73-3.79
57 In 0.7500 0.1250 0.3750  8 Ba 3.73-3.79
58 In 0.7500 0.6250 0.8750  8 Ba 3.73-3.79
59 In 0.8750 0.6250 0.2500  8 Ba 3.73-3.79
60 In 0.8750 0.7500 0.6250  8 Ba 3.73-3.79
61 Pd 0.0000 0.0000 0.0000  6 Ba 3.24
62 Pd 0.0000 0.0000 0.5000  6 Ba 3.24
63 Pd 0.0000 0.5000 0.0000  6 Ba 3.24
64 Pd 0.0000 0.5000 0.5000  6 Ba 3.24
65 Pd 0.1250 0.7500 0.8750  4 Ba 3.00
66 Pd 0.1250 0.8750 0.2500  4 Ba 3.00
67 Pd 0.2500 0.1250 0.8750  4 Ba 3.00
68 Pd 0.2500 0.6250 0.3750  4 Ba 3.00
69 Pd 0.3750 0.2500 0.6250  4 Ba 3.00
70 Pd 0.3750 0.6250 0.7500  4 Ba 3.00
71 Pd 0.5000 0.0000 0.0000  6 Ba 3.24
72 Pd 0.5000 0.0000 0.5000  6 Ba 3.24
73 Pd 0.5000 0.5000 0.0000  6 Ba 3.24
74 Pd 0.5000 0.5000 0.5000  6 Ba 3.24
75 Pd 0.6250 0.3750 0.2500  4 Ba 3.00
76 Pd 0.6250 0.7500 0.3750  4 Ba 3.00
77 Pd 0.7500 0.3750 0.6250  4 Ba 3.00
78 Pd 0.7500 0.8750 0.1250  4 Ba 3.00
79 Pd 0.8750 0.1250 0.7500  4 Ba 3.00
80 Pd 0.8750 0.2500 0.1250  4 Ba 3.00

Computed, not measured: a geometry-optimized BaIn3Pd3 structure at the GGA-PBE level of DFT.

Values from the calculation:
DFT formation energy	-0.389	eV per atom
total magnetization	0.00	Bohr magnetons per cell
DOS(E_F)	0.52	states/eV per atom
volume	351	Å³/cell
energy above the lowest structure with this stoichiometry	0	meV/atom

Cell lengths 8.7180, 8.7180, 8.7180 Å; angles 49.37, 49.37, 49.37 degrees
Closest atoms and distances in Å follow each position.
Atoms (fractional coordinates):
1 Ba 0.1592 0.1592 0.1592  6 Pd 3.40-3.71, 6 In 3.58-3.60
2 Ba 0.8408 0.8408 0.8408  6 Pd 3.40-3.71, 6 In 3.58-3.60
3 In 0.0573 0.2240 0.5891  4 Pd 2.73-2.80
4 In 0.2240 0.5891 0.0573  4 Pd 2.73-2.80
5 In 0.4109 0.9427 0.7760  4 Pd 2.73-2.80
6 In 0.5891 0.0573 0.2240  4 Pd 2.73-2.80
7 In 0.7760 0.4109 0.9427  4 Pd 2.73-2.80
8 In 0.9427 0.7760 0.4109  4 Pd 2.73-2.80
9 Pd 0.1936 0.3968 0.6422  4 In 2.73-2.80, 2 Pd 2.83
10 Pd 0.3578 0.8064 0.6032  4 In 2.73-2.80, 2 Pd 2.83
11 Pd 0.3968 0.6422 0.1936  4 In 2.73-2.80, 2 Pd 2.83
12 Pd 0.6032 0.3578 0.8064  4 In 2.73-2.80, 2 Pd 2.83
13 Pd 0.6422 0.1936 0.3968  4 In 2.73-2.80, 2 Pd 2.83
14 Pd 0.8064 0.6032 0.3578  4 In 2.73-2.80, 2 Pd 2.83

Computed, not measured: a geometry-optimized Ba2In6Pd3 structure at the GGA-PBE level of DFT.

Values from the calculation:
DFT formation energy	-0.485	eV per atom
total magnetization	0.00	Bohr magnetons per cell
DOS(E_F)	0.63	states/eV per atom
volume	296	Å³/cell

Cell lengths 8.4535, 8.4535, 4.7812 Å; angles 90.00, 90.00, 120.00 degrees
Closest atoms and distances in Å follow each position.
Atoms (fractional coordinates):
1 Ba 0.3333 0.6667 0.0000  9 In 3.50-3.81, 6 Pd 3.60
2 Ba 0.6667 0.3333 0.0000  9 In 3.50-3.81, 6 Pd 3.60
3 In 0.0000 0.2036 0.0000  2 Pd 2.76, 2 In 2.98
4 In 0.0000 0.6995 0.5000  3 Pd 2.81-2.86
5 In 0.2036 0.0000 0.0000  2 Pd 2.76, 2 In 2.98
6 In 0.3005 0.3005 0.5000  3 Pd 2.81-2.86
7 In 0.6995 0.0000 0.5000  3 Pd 2.81-2.86
8 In 0.7964 0.7964 0.0000  2 Pd 2.76, 2 In 2.98
9 Pd 0.0000 0.3665 0.5000  5 In 2.76-2.86
10 Pd 0.3665 0.0000 0.5000  5 In 2.76-2.86
11 Pd 0.6335 0.6335 0.5000  5 In 2.76-2.86